# Li2YTcCl

Crystalline Li2YTcCl at its relaxed geometry (PBE, the Alexandria database).

Results
- theoretical density (g/cm3) = 4.1
- raw total energy (hartree per atom) = -0.1625
- spin magnetization (μB/atom) = 0.092
- crystal system = tetragonal
- Fermi-level density of states (states/eV/cell) = 4.2

```
Li2YTcCl
1.0
4.356 0.000 0.000
0.000 5.043 0.000
0.000 0.000 4.356
Tc Li Y Cl
1 2 1 1
Cartesian
0.000 2.521 0.000
2.178 0.000 0.000
0.000 0.000 2.178
2.178 2.521 2.178
0.000 0.000 0.000
```